{
  "formula": "Cs2FeHgI6",
  "functional": "PBE-GGA",
  "state": "optimized geometry",
  "lattice_angstrom": [[5.035, -4.949, 4.755], [-3.265, 3.704, 6.933], [-5.253, -3.621, -5.634]],
  "species": ["I", "Cs", "I", "I", "Cs", "Fe", "I", "Hg", "I", "I"],
  "fractional_positions": [[0.266, 0.266, 0.000], [0.750, 0.250, 0.500], [0.734, 0.734, 0.000], [0.776, 0.776, 0.553], [0.250, 0.750, 0.500], [0.000, 0.000, 0.000], [0.224, 0.776, 0.000], [0.500, 0.500, 0.000], [0.224, 0.224, 0.447], [0.776, 0.224, 0.000]],
  "sg": "I4/mmm, No. 139",
  "magnetic_moment_mub_per_cell": 4.0,
  "mass_density_g_cm3": 4.83,
  "e_tot_ha_per_atom": -0.098
}

***

{
  "formula": "ZnSiNiHg",
  "functional": "PBE-GGA",
  "state": "optimized geometry",
  "lattice_angstrom": [[1.458, 0.661, 4.157], [2.718, 3.415, 0.891], [-1.488, 3.475, 2.356]],
  "species": ["Si", "Hg", "Zn", "Ni"],
  "fractional_positions": [[0.000, 0.000, 0.000], [0.250, 0.250, 0.250], [0.500, 0.500, 0.500], [0.750, 0.750, 0.750]],
  "sg": "F-43m, No. 216",
  "magnetic_moment_mub_per_cell": 0.0,
  "mass_density_g_cm3": 9.37,
  "e_tot_ha_per_atom": -0.102
}

***

{
  "formula": "AcRe",
  "functional": "PBE-GGA",
  "state": "optimized geometry",
  "lattice_angstrom": [[4.012, 0.000, 0.000], [-2.006, 3.475, 0.000], [0.000, 0.000, 7.615]],
  "species": ["Ac", "Ac", "Re", "Re"],
  "fractional_positions": [[0.000, 0.000, 0.500], [0.000, 0.000, 0.000], [0.333, 0.667, 0.750], [0.667, 0.333, 0.250]],
  "relative_energy_kj_per_mol_atoms": 103.0,
  "sg": "P6_3/mmc, No. 194",
  "magnetic_moment_mub_per_cell": 3.0,
  "delta_e_f_ev_per_atom": 1.595,
  "mass_density_g_cm3": 12.93
}

***

{
  "formula": "SrZrSb",
  "functional": "PBE-GGA",
  "state": "optimized geometry",
  "lattice_angstrom": [[1.358, -4.774, -1.891], [-3.043, -2.375, -3.650], [1.734, -0.482, -4.998]],
  "species": ["Sr", "Zr", "Sb"],
  "fractional_positions": [[0.000, 0.000, 0.000], [0.750, 0.750, 0.750], [0.250, 0.250, 0.250]],
  "relative_energy_kj_per_mol_atoms": 75.4,
  "sg": "F-43m, No. 216",
  "magnetic_moment_mub_per_cell": 3.0,
  "mass_density_g_cm3": 4.71
}

***

{
  "formula": "HfSnHg2",
  "functional": "PBE-GGA",
  "state": "optimized geometry",
  "lattice_angstrom": [[-3.176, -3.950, 0.541], [-4.321, -0.184, -2.697], [-0.510, -3.395, -3.768]],
  "species": ["Hf", "Hg", "Hg", "Sn"],
  "fractional_positions": [[0.250, 0.250, 0.250], [0.750, 0.750, 0.750], [0.000, 0.000, 0.000], [0.500, 0.500, 0.500]],
  "sg": "F-43m, No. 216",
  "magnetic_moment_mub_per_cell": 0.0,
  "mass_density_g_cm3": 12.38,
  "e_tot_ha_per_atom": -0.125
}

***

{
  "formula": "SrBeOs",
  "functional": "PBE-GGA",
  "state": "optimized geometry",
  "lattice_angstrom": [[-2.557, -3.480, -0.752], [-2.792, -1.376, 3.086], [-4.315, 0.530, -0.555]],
  "species": ["Os", "Be", "Sr"],
  "fractional_positions": [[0.250, 0.250, 0.250], [0.000, 0.000, 0.000], [0.750, 0.750, 0.750]],
  "relative_energy_kj_per_mol_atoms": 0.0,
  "sg": "F-43m, No. 216",
  "magnetic_moment_mub_per_cell": 0.0,
  "mass_density_g_cm3": 8.00
}

***

{
  "formula": "Ag9Bi",
  "functional": "PBE-GGA",
  "state": "optimized geometry",
  "lattice_angstrom": [[3.015, 0.000, 0.000], [0.000, 3.015, 0.000], [0.000, 0.000, 49.880]],
  "species": ["Bi", "Ag", "Ag", "Ag", "Ag", "Ag", "Ag", "Ag", "Bi", "Ag", "Ag", "Ag", "Ag", "Ag", "Ag", "Ag", "Ag", "Ag", "Ag", "Ag"],
  "fractional_positions": [[0.000, 0.500, 0.118], [0.000, 0.500, 0.754], [0.000, 0.500, 0.597], [0.500, 0.000, 0.714], [0.500, 0.000, 0.167], [0.000, 0.500, 0.364], [0.000, 0.500, 0.833], [0.000, 0.500, 0.207], [0.500, 0.000, 0.882], [0.500, 0.000, 0.403], [0.500, 0.000, 0.246], [0.000, 0.500, 0.675], [0.000, 0.500, 0.286], [0.000, 0.500, 0.442], [0.500, 0.000, 0.793], [0.500, 0.000, 0.558], [0.500, 0.000, 0.325], [0.500, 0.000, 0.636], [0.000, 0.500, 0.519], [0.500, 0.000, 0.481]],
  "relative_energy_kj_per_mol_atoms": 0.4,
  "sg": "P4/nmm, No. 129",
  "mass_density_g_cm3": 8.64
}

***

{
  "formula": "LaPrAu2O4",
  "functional": "PBE-GGA",
  "state": "optimized geometry",
  "lattice_angstrom": [[-0.320, -0.515, -3.779], [-1.936, -2.257, 2.410], [-9.236, 7.643, -0.262]],
  "species": ["La", "O", "Pr", "Au", "O", "O", "O", "Au"],
  "fractional_positions": [[0.000, 0.000, 0.000], [0.333, 0.667, 0.419], [0.000, 0.000, 0.500], [0.667, 0.333, 0.750], [0.667, 0.333, 0.581], [0.667, 0.333, 0.918], [0.333, 0.667, 0.082], [0.333, 0.667, 0.250]],
  "sg": "P-3m1, No. 164",
  "magnetic_moment_mub_per_cell": 0.0,
  "mass_density_g_cm3": 8.05,
  "e_tot_ha_per_atom": -0.245
}